DFT (GGA-PBE) results for CaTeRh2 after structural relaxation.

D(E_F) (states/eV/atom): 0.60
DFT total energy (eV per atom): -5.398
Space group: No. 160

Cell: 5.838 5.838 5.838 Å, 44.49 44.49 44.49°
Element x y z (fractional)
Ca  0.739  0.739  0.739
Te  0.537  0.537  0.537
Rh  0.946  0.946  0.946
Rh  0.278  0.278  0.278


DFT (GGA-PBE) results for CaTeRh2 after structural relaxation.

D(E_F) (states/eV/atom): 0.26
DFT total energy (eV per atom): -5.369
Space group: No. 99

Cell: 4.378 4.379 4.237 Å, 90.05 90.00 90.00°
Element x y z (fractional)
Ca  0.500  0.875  0.685
Te  0.000  0.375  0.490
Rh  0.000  0.875  0.163
Rh  0.500  0.375  0.162


Please write out number 2 again, unchanged.
DFT (GGA-PBE) results for CaTeRh2 after structural relaxation.

D(E_F) (states/eV/atom): 0.26
DFT total energy (eV per atom): -5.369
Space group: No. 99

Cell: 4.378 4.379 4.237 Å, 90.05 90.00 90.00°
Element x y z (fractional)
Ca  0.500  0.875  0.685
Te  0.000  0.375  0.490
Rh  0.000  0.875  0.163
Rh  0.500  0.375  0.162


- Which value of D(E_F) does entry 1 give?
  0.60 states/eV/atom


- Which formula does entry 2 have?
  CaTeRh2